First-principles (GGA-PBE) data for a geometry-optimized U2As3Ru5 structure, as listed in Alexandria.

Summary:
Total moment = 1.9 μB/f.u.
SG = Cmc2_1
E_form = -358 kJ/mol of formula units
DOS(E_F) = 0.93 states/eV/atom
Energy = -8.662 eV/atom

Unit cell a=12.375 b=12.375 c=6.668 alpha=90.00 beta=90.00 gamma=160.96
Each line ends with the local moment (μB).
Positions (direct):
As 0.767 0.233 0.732  0.00
As 0.951 0.049 0.487  -0.01
As 0.611 0.389 0.469  0.00
As 0.233 0.767 0.232  0.00
As 0.389 0.611 0.969  0.00
As 0.049 0.951 0.987  -0.01
Ru 0.132 0.868 0.222  0.06
Ru 0.295 0.705 0.519  -0.03
Ru 0.290 0.710 0.935  -0.02
Ru 0.941 0.059 0.106  -0.15
Ru 0.705 0.295 0.019  -0.03
Ru 0.395 0.605 0.398  -0.06
Ru 0.605 0.395 0.898  -0.06
Ru 0.059 0.941 0.606  -0.15
Ru 0.710 0.290 0.435  -0.02
Ru 0.868 0.132 0.722  0.06
U 0.172 0.828 0.742  0.24
U 0.512 0.488 0.254  1.69
U 0.488 0.512 0.754  1.69
U 0.828 0.172 0.242  0.24

=====

First-principles (GGA-PBE) data for a geometry-optimized U3As3Ru2 structure, as listed in Alexandria.

Summary:
Total moment = 5.1 μB/f.u.
SG = Cmcm
E_form = -410 kJ/mol of formula units
DOS(E_F) = 1.63 states/eV/atom
Energy = -8.826 eV/atom

Unit cell a=4.220 b=5.587 c=14.151 alpha=90.00 beta=90.00 gamma=112.19
Each line ends with the local moment (μB).
Positions (direct):
As 0.629 0.258 0.458  -0.04
As 0.387 0.774 0.250  -0.04
As 0.371 0.742 0.958  -0.04
As 0.371 0.742 0.542  -0.04
As 0.613 0.226 0.750  -0.04
As 0.629 0.258 0.042  -0.04
Ru 0.779 0.558 0.613  -0.30
Ru 0.221 0.442 0.113  -0.30
Ru 0.221 0.442 0.387  -0.30
Ru 0.779 0.558 0.887  -0.30
U 0.931 0.863 0.104  1.90
U 0.069 0.137 0.604  1.90
U 0.931 0.863 0.396  1.90
U 0.672 0.343 0.250  1.50
U 0.328 0.657 0.750  1.50
U 0.069 0.137 0.896  1.90

=====

First-principles (GGA-PBE) data for a geometry-optimized UAs2Ru structure, as listed in Alexandria.

Summary:
Total moment = 4.3 μB/f.u.
SG = R-3m
E_form = 251 kJ/mol of formula units
DOS(E_F) = 2.36 states/eV/atom
Energy = -6.816 eV/atom

Unit cell a=4.027 b=4.027 c=8.254 alpha=75.88 beta=75.88 gamma=60.00
Each line ends with the local moment (μB).
Positions (direct):
Ru 0.000 0.000 0.000  2.01
As 0.900 0.900 0.301  -0.02
As 0.100 0.100 0.699  -0.02
U 0.500 0.500 0.500  1.98

=====

First-principles (GGA-PBE) data for a geometry-optimized UAsRu2 structure, as listed in Alexandria.

Summary:
Total moment = 1.0 μB/f.u.
SG = P4/mmm
E_form = -92 kJ/mol of formula units
DOS(E_F) = 1.48 states/eV/atom
Energy = -8.862 eV/atom

Unit cell a=3.854 b=4.174 c=4.174 alpha=90.00 beta=90.00 gamma=90.00
Each line ends with the local moment (μB).
Positions (direct):
U 0.500 0.000 0.000  1.19
As 0.500 0.500 0.500  -0.01
Ru 0.000 0.000 0.500  -0.13
Ru 0.000 0.500 0.000  -0.13

=====

First-principles (GGA-PBE) data for a geometry-optimized UAs2Ru structure, as listed in Alexandria.

Summary:
Total moment = 2.0 μB/f.u.
SG = R3m
E_form = -97 kJ/mol of formula units
DOS(E_F) = 1.82 states/eV/atom
Energy = -7.718 eV/atom

Unit cell a=3.891 b=3.891 c=6.513 alpha=72.62 beta=72.62 gamma=60.00
Each line ends with the local moment (μB).
Positions (direct):
Ru 0.489 0.489 0.532  -0.14
As 0.099 0.099 0.704  -0.01
As 0.242 0.242 0.275  -0.06
U 0.670 0.670 0.989  2.01

=====

First-principles (GGA-PBE) data for a geometry-optimized U4As6Ru7 structure, as listed in Alexandria.

Summary:
Total moment = 6.7 μB/f.u.
SG = Im-3m
E_form = -926 kJ/mol of formula units
DOS(E_F) = 1.30 states/eV/atom
Energy = -8.681 eV/atom

Unit cell a=7.232 b=7.232 c=7.232 alpha=109.47 beta=109.47 gamma=109.47
Each line ends with the local moment (μB).
Positions (direct):
Ru 0.500 0.250 0.750  -0.19
Ru 0.750 0.250 0.500  -0.19
Ru 0.250 0.750 0.500  -0.19
Ru 0.250 0.500 0.750  -0.19
Ru 0.500 0.750 0.250  -0.19
Ru 0.750 0.500 0.250  -0.19
Ru 0.000 0.000 0.000  0.16
As 0.309 0.000 0.309  -0.01
As 0.691 0.000 0.691  -0.01
As 0.691 0.691 0.000  -0.01
As 0.000 0.309 0.309  -0.01
As 0.309 0.309 0.000  -0.01
As 0.000 0.691 0.691  -0.01
U 0.000 0.500 0.000  1.80
U 0.500 0.500 0.500  1.80
U 0.000 0.000 0.500  1.80
U 0.500 0.000 0.000  1.80

=====

First-principles (GGA-PBE) data for a geometry-optimized U2AsRu structure, as listed in Alexandria.

Summary:
Total moment = 0.0 μB/f.u.
SG = R-3m
E_form = -13 kJ/mol of formula units
DOS(E_F) = 1.91 states/eV/atom
Energy = -9.159 eV/atom

Unit cell a=3.031 b=3.031 c=9.647 alpha=80.96 beta=80.96 gamma=60.00
Positions (direct):
As 0.000 0.000 0.000
U 0.754 0.754 0.739
U 0.246 0.246 0.261
Ru 0.500 0.500 0.500

=====

First-principles (GGA-PBE) data for a geometry-optimized UAs2Ru structure, as listed in Alexandria.

Summary:
Total moment = 0.7 μB/f.u.
SG = I4/mmm
E_form = -219 kJ/mol of formula units
DOS(E_F) = 1.18 states/eV/atom
Energy = -8.034 eV/atom

Unit cell a=4.117 b=4.117 c=9.146 alpha=103.01 beta=103.01 gamma=90.00
Each line ends with the local moment (μB).
Positions (direct):
As 0.335 0.335 0.669  -0.01
As 0.665 0.665 0.331  -0.01
As 0.000 0.500 0.000  -0.02
As 0.500 0.000 0.000  -0.02
U 0.118 0.118 0.237  0.71
U 0.882 0.882 0.763  0.71
Ru 0.750 0.250 0.500  -0.05
Ru 0.250 0.750 0.500  -0.05

=====

First-principles (GGA-PBE) data for a geometry-optimized UAs2Ru4 structure, as listed in Alexandria.

Summary:
Total moment = 0.4 μB/f.u.
SG = C2/m
E_form = 16 kJ/mol of formula units
DOS(E_F) = 1.34 states/eV/atom
Energy = -8.218 eV/atom

Unit cell a=4.018 b=4.018 c=8.804 alpha=103.25 beta=103.19 gamma=90.00
Each line ends with the local moment (μB).
Positions (direct):
U 0.000 0.000 0.000  0.38
Ru 0.750 0.250 0.500  0.01
Ru 0.870 0.870 0.740  -0.06
Ru 0.130 0.130 0.260  -0.06
Ru 0.250 0.750 0.500  0.01
As 0.343 0.344 0.686  0.00
As 0.657 0.656 0.314  0.00

=====

First-principles (GGA-PBE) data for a geometry-optimized UAsRu structure, as listed in Alexandria.

Summary:
Total moment = 0.6 μB/f.u.
SG = P2_1/m
E_form = -102 kJ/mol of formula units
DOS(E_F) = 1.24 states/eV/atom
Energy = -8.758 eV/atom

Unit cell a=5.655 b=4.662 c=5.578 alpha=90.00 beta=133.88 gamma=90.00
Each line ends with the local moment (μB).
Positions (direct):
As 0.199 0.250 0.551  -0.01
As 0.801 0.750 0.449  -0.01
Ru 0.455 0.750 0.820  -0.05
Ru 0.545 0.250 0.180  -0.05
U 0.131 0.750 0.166  0.65
U 0.869 0.250 0.834  0.65

=====

First-principles (GGA-PBE) data for a geometry-optimized UAs2Ru3 structure, as listed in Alexandria.

Summary:
Total moment = 1.0 μB/f.u.
SG = C2/m
E_form = -223 kJ/mol of formula units
DOS(E_F) = 1.20 states/eV/atom
Energy = -8.454 eV/atom

Unit cell a=3.952 b=8.530 c=9.713 alpha=108.71 beta=90.00 gamma=103.39
Each line ends with the local moment (μB).
Positions (direct):
Ru 0.500 0.000 0.500  -0.19
Ru 0.386 0.773 0.816  -0.14
Ru 0.780 0.560 0.611  -0.12
Ru 0.220 0.440 0.389  -0.12
Ru 0.614 0.227 0.184  -0.14
Ru 0.683 0.367 0.954  -0.15
Ru 0.043 0.086 0.324  -0.13
Ru 0.957 0.914 0.676  -0.13
Ru 0.317 0.633 0.046  -0.15
As 0.543 0.087 0.776  -0.01
As 0.364 0.729 0.548  -0.01
As 0.808 0.616 0.875  -0.01
As 0.636 0.271 0.452  -0.01
As 0.192 0.384 0.125  -0.01
As 0.457 0.913 0.224  -0.01
U 0.837 0.674 0.299  1.40
U 0.000 0.000 0.000  1.26
U 0.163 0.326 0.701  1.40

=====

First-principles (GGA-PBE) data for a geometry-optimized VAs2Ru structure, as listed in Alexandria.

Summary:
Total moment = 1.1 μB/f.u.
SG = I-42d
E_form = 46 kJ/mol of formula units
DOS(E_F) = 1.11 states/eV/atom
Energy = -6.803 eV/atom

Unit cell a=4.034 b=4.034 c=8.689 alpha=76.58 beta=76.58 gamma=90.00
Each line ends with the local moment (μB).
Positions (direct):
As 0.875 0.880 0.750  -0.01
As 0.630 0.125 0.250  -0.01
As 0.120 0.625 0.250  -0.01
As 0.375 0.370 0.750  -0.01
V 0.250 0.750 0.500  1.04
V 0.500 0.500 0.000  1.04
Ru 0.000 0.000 0.000  -0.05
Ru 0.750 0.250 0.500  -0.05

=====

Question: Which formula does entry 7 have?
Answer: U2AsRu